# 1
Density functional theory data (GGA-PBE) for a geometry-optimized YSiIO2 structure.

Computed properties:
* offset from the most stable computed form: 0 kJ/mol of formula units
* Fermi-level density of states: 1.0884 states/eV per atom
* energy relative to the elements, uncorrected: -0.842 eV per atom
* M_tot: 0.00 μB per formula unit

abc: 4.3528 4.3528 6.2048
angles: 90.00 90.00 90.00
Sites, in units of the cell vectors:
1 Y 0.0000 0.0000 0.0000
2 Si 0.5000 0.5000 0.5000
3 I 0.0000 0.0000 0.5000
4 O 0.0000 0.5000 0.0000
5 O 0.5000 0.0000 0.0000



# 2
Density functional theory data (GGA-PBE) for a geometry-optimized Tb5HoS6 structure.

Computed properties:
* Fermi-level density of states: 0.3527 states/eV per atom
* energy relative to the elements, uncorrected: -2.007 eV per atom
* M_tot: 0.00 μB per formula unit

abc: 6.7983 6.7983 6.7806
angles: 99.66 99.66 120.11
Sites, in units of the cell vectors:
1 Tb 0.0000 0.0000 0.0000
2 Tb 0.1671 0.8329 0.5000
3 Tb 0.3321 0.6679 0.0000
4 Tb 0.6679 0.3321 0.0000
5 Tb 0.8329 0.1671 0.5000
6 Ho 0.5000 0.5000 0.5000
7 S 0.0864 0.4171 0.2516
8 S 0.2521 0.2521 0.7492
9 S 0.4171 0.0864 0.2516
10 S 0.5829 0.9136 0.7484
11 S 0.7479 0.7479 0.2508
12 S 0.9136 0.5829 0.7484



# 3
Density functional theory data (GGA-PBE) for a geometry-optimized PrPuPaGa structure.

Computed properties:
* Fermi-level density of states: 2.2937 states/eV per atom
* formation energy from the elements: 0.11 eV per atom
* M_tot: 7.06 μB per formula unit

abc: 5.1931 5.1931 5.1931
angles: 60.00 60.00 60.00
Sites, in units of the cell vectors:
1 Pr 0.0000 0.0000 0.0000
2 Pu 0.5000 0.5000 0.5000
3 Pa 0.7500 0.7500 0.7500
4 Ga 0.2500 0.2500 0.2500



# 4
Density functional theory data (GGA-PBE) for a geometry-optimized KTl4Pd4 structure.

Computed properties:
* offset from the most stable computed form: 13 kJ/mol of formula units
* Fermi-level density of states: 0.4430 states/eV per atom
* formation energy from the elements: -0.11 eV per atom
* M_tot: 0.00 μB per formula unit

abc: 9.3076 9.3076 5.4815
angles: 90.00 90.00 90.00
Sites, in units of the cell vectors:
1 K 0.2500 0.2500 0.2500
2 K 0.7500 0.7500 0.7500
3 Tl 0.1021 0.6181 0.1524
4 Tl 0.1181 0.8979 0.6524
5 Tl 0.3819 0.6021 0.6524
6 Tl 0.3979 0.8819 0.1524
7 Tl 0.6021 0.1181 0.8476
8 Tl 0.6181 0.3979 0.3476
9 Tl 0.8819 0.1021 0.3476
10 Tl 0.8979 0.3819 0.8476
11 Pd 0.0837 0.5901 0.6505
12 Pd 0.0901 0.9163 0.1505
13 Pd 0.4099 0.5837 0.1505
14 Pd 0.4163 0.9099 0.6505
15 Pd 0.5837 0.0901 0.3495
16 Pd 0.5901 0.4163 0.8495
17 Pd 0.9099 0.0837 0.8495
18 Pd 0.9163 0.4099 0.3495



# 5
Density functional theory data (GGA-PBE) for a geometry-optimized AgMoP2 structure.

Computed properties:
* offset from the most stable computed form: 49 kJ/mol of formula units
* Fermi-level density of states: 0.5812 states/eV per atom
* formation energy from the elements: 0.06 eV per atom
* M_tot: 0.00 μB per formula unit

abc: 4.3396 4.3396 5.2117
angles: 94.80 94.80 42.29
Sites, in units of the cell vectors:
1 Ag 0.0000 0.0000 0.0000
2 Mo 0.5000 0.5000 0.5000
3 P 0.2193 0.2193 0.6731
4 P 0.7807 0.7807 0.3269



# 6
Density functional theory data (GGA-PBE) for a geometry-optimized AlP2Se structure.

Computed properties:
* offset from the most stable computed form: 221 kJ/mol of formula units
* Fermi-level density of states: 0.4406 states/eV per atom
* energy relative to the elements, uncorrected: 0.410 eV per atom
* M_tot: 0.00 μB per formula unit

abc: 3.1789 4.3735 4.7491
angles: 90.00 90.00 90.00
Sites, in units of the cell vectors:
1 Al 0.0000 0.0000 0.0000
2 P 0.0000 0.5000 0.5000
3 P 0.5000 0.5000 0.0000
4 Se 0.5000 0.0000 0.5000



# 7
Density functional theory data (GGA-PBE) for a geometry-optimized Rb2CCl6F structure.

Computed properties:
* Fermi-level density of states: 1.0116 states/eV per atom
* energy relative to the elements, uncorrected: -0.459 eV per atom
* M_tot: 1.00 μB per formula unit

abc: 7.0256 7.0256 7.0256
angles: 106.96 106.96 114.61
Sites, in units of the cell vectors:
1 Rb 0.2500 0.7500 0.5000
2 Rb 0.7500 0.2500 0.5000
3 C 0.0000 0.0000 0.0000
4 Cl 0.2110 0.2110 0.0000
5 Cl 0.2359 0.2359 0.4719
6 Cl 0.2359 0.7641 0.0000
7 Cl 0.7641 0.2359 0.0000
8 Cl 0.7641 0.7641 0.5281
9 Cl 0.7890 0.7890 0.0000
10 F 0.5000 0.5000 0.0000



# 8
Density functional theory data (GGA-PBE) for a geometry-optimized GeB2C structure.

Computed properties:
* offset from the most stable computed form: 0 kJ/mol of formula units
* Fermi-level density of states: 0.2282 states/eV per atom
* formation energy from the elements: 0.54 eV per atom
* M_tot: 0.00 μB per formula unit

abc: 5.0990 5.0990 5.0990
angles: 128.29 128.29 76.16
Sites, in units of the cell vectors:
1 Ge 0.0000 0.0000 0.0000
2 Ge 0.7500 0.2500 0.5000
3 B 0.2202 0.6250 0.0952
4 B 0.3750 0.4702 0.5952
5 B 0.5298 0.1250 0.9048
6 B 0.8750 0.7798 0.4048
7 C 0.2500 0.7500 0.5000
8 C 0.5000 0.5000 0.0000